# KCuAu3

A geometry-optimized KCuAu3 structure (PBE-GGA, the Alexandria database).

- Energy above the lowest structure with this stoichiometry: 0 meV/atom
- Total energy: -0.108 Ha/atom
- Calculated volume: 24.65 A^3/atom
- ΔE_f: 0.064 eV per atom

Cell lengths 4.9763, 4.9763, 4.9763 Å; angles 90.00, 90.00, 90.00 degrees
With the nearest neighbours (Å) after each atom.
Space group Pm-3m (No. 221)
Asymmetric unit:
K 0.0000 0.0000 0.0000  12 Au 3.52
Cu 0.5000 0.5000 0.5000  6 Au 2.49
Au 0.0000 0.5000 0.5000  2 Cu 2.49

=====

# KCuAu

A geometry-optimized KCuAu structure (PBE-GGA, the Alexandria database).

- Energy above the lowest structure with this stoichiometry: 770 meV/atom
- Total energy: -0.076 Ha/atom
- Calculated volume: 31.87 A^3/atom
- ΔE_f: 0.743 eV per atom

Cell lengths 7.2589, 7.2589, 7.2589 Å; angles 90.00, 90.00, 90.00 degrees
With the nearest neighbours (Å) after each atom.
Space group F-43m (No. 216)
Asymmetric unit:
K 0.0000 0.0000 0.0000  4 Cu 3.14, 4 Au 3.14
Cu 0.2500 0.2500 0.2500  4 K 3.14
Au 0.2500 0.2500 0.7500  4 K 3.14

=====

# KCuAu2

A geometry-optimized KCuAu2 structure (PBE-GGA, the Alexandria database).

- Energy above the lowest structure with this stoichiometry: 427 meV/atom
- Total energy: -0.097 Ha/atom
- Calculated volume: 21.37 A^3/atom
- ΔE_f: 0.292 eV per atom

Cell lengths 6.9928, 6.9928, 6.9928 Å; angles 90.00, 90.00, 90.00 degrees
With the nearest neighbours (Å) after each atom.
Space group Fm-3m (No. 225)
Asymmetric unit:
K 0.0000 0.0000 0.0000  8 Au 3.03
Cu 0.0000 0.0000 0.5000  8 Au 3.03
Au 0.2500 0.2500 0.2500  4 K 3.03, 4 Cu 3.03

=====

# KCuAu2

A geometry-optimized KCuAu2 structure (PBE-GGA, the Alexandria database).

- Energy above the lowest structure with this stoichiometry: 0 meV/atom
- Total energy: -0.113 Ha/atom
- Calculated volume: 27.21 A^3/atom
- ΔE_f: -0.135 eV per atom

Cell lengths 8.0408, 4.6553, 6.5530 Å; angles 90.00, 117.44, 90.00 degrees
With the nearest neighbours (Å) after each atom.
Space group Cm (No. 8)
Asymmetric unit:
K 0.0000 0.0000 0.0000  1 Cu 3.05, 1 Au 3.17
Cu 0.1700 0.0000 0.5229  6 Au 2.69-2.72
Au 0.3122 0.5000 0.4551  3 Au 2.70, 3 Cu 2.70-2.72
Au 0.4980 0.0000 0.5074  3 Cu 2.69, 3 Au 2.70

=====

# KCuAu4

A geometry-optimized KCuAu4 structure (PBE-GGA, the Alexandria database).

- Total energy: -0.112 Ha/atom
- Calculated volume: 20.90 A^3/atom
- ΔE_f: 0.005 eV per atom

Cell lengths 7.9459, 7.9459, 7.9459 Å; angles 90.00, 90.00, 90.00 degrees
With the nearest neighbours (Å) after each atom.
Space group F-43m (No. 216)
Asymmetric unit:
K 0.0000 0.0000 0.0000  12 Au 3.30, 4 Cu 3.44
Cu 0.2500 0.2500 0.2500  12 Au 3.29, 4 K 3.44
Au 0.1245 0.1245 0.6245  6 Au 2.80-2.82

=====

# KCuAu2

A geometry-optimized KCuAu2 structure (PBE-GGA, the Alexandria database).

- Energy above the lowest structure with this stoichiometry: 200 meV/atom
- Total energy: -0.106 Ha/atom
- Calculated volume: 21.22 A^3/atom
- ΔE_f: 0.065 eV per atom

Cell lengths 2.8815, 5.4794, 10.7535 Å; angles 90.00, 90.00, 90.00 degrees
With the nearest neighbours (Å) after each atom.
Space group Immm (No. 71)
Asymmetric unit:
K 0.0000 0.0000 0.0000  2 K 2.88, 4 Cu 3.10
Cu 0.0000 0.0000 0.5000  4 Au 2.60, 2 Cu 2.88
Au 0.0000 0.5000 0.2016  2 Cu 2.60, 2 Au 2.88